(1)
Compound: CoIr2NCl
Source: Alexandria
Functional: PBE
Structure: relaxed

Unit cell a=4.5768 b=4.5768 c=4.1181 alpha=90.00 beta=90.00 gamma=90.00
Fractional positions:
1 Co 0.0000 0.0000 0.0000
2 Ir 0.0000 0.5000 0.0000
3 Ir 0.5000 0.0000 0.0000
4 N 0.5000 0.5000 0.5000
5 Cl 0.0000 0.0000 0.5000

Properties
Mass density (g/cm³): 9.49
Energy (eV per atom): -4.579
Crystal system: tetragonal
DOS(E_F) (states/eV per atom): 1.506
ΔE_f (raw) (eV per formula unit): 12.1

=====

(2)
Compound: LiAcGaPt3
Source: Alexandria
Functional: PBE
Structure: relaxed

Unit cell a=6.8296 b=6.8296 c=5.8829 alpha=90.00 beta=90.00 gamma=121.39
Fractional positions:
1 Li 0.0410 0.9590 0.7500
2 Li 0.9590 0.0410 0.2500
3 Ac 0.2867 0.7133 0.7500
4 Ac 0.7133 0.2867 0.2500
5 Ga 0.3774 0.6226 0.2500
6 Ga 0.6226 0.3774 0.7500
7 Pt 0.1698 0.8302 0.2500
8 Pt 0.2780 0.2780 0.0000
9 Pt 0.2780 0.2780 0.5000
10 Pt 0.7220 0.7220 0.0000
11 Pt 0.7220 0.7220 0.5000
12 Pt 0.8302 0.1698 0.7500

Properties
Mass density (g/cm³): 12.60
Energy (eV per atom): -5.213
Crystal system: orthorhombic
DOS(E_F) (states/eV per atom): 0.566

=====

energy of number 1 (CoIr2NCl)? -4.579 eV per atom

=====

mass density of number 2 (LiAcGaPt3)? 12.60 g/cm³

=====

What is the DOS(E_F) in the first record? 1.506 states/eV per atom

=====

Among the records above, which one has the highest DOS(E_F)? CoIr2NCl